Below is a relaxed K3LiH4 crystal, with properties calculated at the PBE level.

Values from the calculation:
Total magnetic moment (μB/f.u.): 0.00
Relative energy among the computed polymorphs (eV/atom): 0.000

Cell: 6.620 6.620 6.620 Å, 90.00 90.00 90.00°
Space group I-43m (No. 217)
Inequivalent atoms, fractional coordinates:
1 K 0.000 0.000 0.500 (multiplicity 6)
2 Li 0.000 0.000 0.000 (multiplicity 2)
3 H 0.174 0.174 0.826 (multiplicity 8)


Below is a relaxed Tb8Ho5Zr crystal, with properties calculated at the PBE level.

Values from the calculation:
Total magnetic moment (μB/f.u.): 0.00
ΔE_f (eV/atom): 0.191

Cell: 13.644 9.666 9.294 Å, 90.00 132.08 90.00°
Space group C2 (No. 5)
Inequivalent atoms, fractional coordinates:
1 Tb 0.004 0.000 0.320 (multiplicity 4)
2 Tb 0.176 0.695 0.980 (multiplicity 4)
3 Tb 0.214 0.498 0.712 (multiplicity 4)
4 Tb 0.221 0.375 0.220 (multiplicity 4)
5 Ho 0.000 0.123 0.000 (multiplicity 2)
6 Ho 0.000 0.356 0.284 (multiplicity 4)
7 Ho 0.180 0.694 0.379 (multiplicity 4)
8 Zr 0.000 0.733 0.500 (multiplicity 2)


Below is a relaxed LaY2Cl crystal, with properties calculated at the PBE level.

Values from the calculation:
Total magnetic moment (μB/f.u.): 0.00
Formation energy (no corrections) (kJ per mole of atoms): -46.7
Relative energy among the computed polymorphs (eV/atom): 0.187

Cell: 8.983 8.983 6.024 Å, 90.00 90.00 90.00°
Space group I-42d (No. 122)
Inequivalent atoms, fractional coordinates:
1 La 0.000 0.000 0.000 (multiplicity 4)
2 Y 0.155 0.250 0.625 (multiplicity 8)
3 Cl 0.000 0.000 0.500 (multiplicity 4)


Below is a relaxed Pr3Ga4 crystal, with properties calculated at the PBE level.

Values from the calculation:
Total magnetic moment (μB/f.u.): 0.00
ΔE_f (eV/atom): -0.631
Relative energy among the computed polymorphs (eV/atom): 0.000

Cell: 4.247 4.433 18.956 Å, 90.00 90.00 90.00°
Space group Immm (No. 71)
Inequivalent atoms, fractional coordinates:
1 Pr 0.000 0.000 0.000 (multiplicity 2)
2 Pr 0.000 0.500 0.316 (multiplicity 4)
3 Ga 0.000 0.000 0.435 (multiplicity 4)
4 Ga 0.000 0.500 0.141 (multiplicity 4)


Below is a relaxed Pm4ErTl4 crystal, with properties calculated at the PBE level.

Values from the calculation:
Total magnetic moment (μB/f.u.): 0.00
ΔE_f (eV/atom): -0.193

Cell: 9.340 9.340 6.211 Å, 90.00 90.00 90.00°
Space group P4_2/n (No. 86, origin choice 2)
Inequivalent atoms, fractional coordinates:
1 Pm 0.081 0.825 0.119 (multiplicity 8)
2 Er 0.250 0.250 0.750 (multiplicity 2)
3 Tl 0.046 0.151 0.372 (multiplicity 8)


Below is a relaxed CaCrCo2 crystal, with properties calculated at the PBE level.

Values from the calculation:
Total magnetic moment (μB/f.u.): 5.29
ΔE_f (eV/atom): 0.705
Relative energy among the computed polymorphs (eV/atom): 0.434

Cell: 3.061 4.683 8.569 Å, 90.00 90.00 90.00°
Space group Immm (No. 71)
Inequivalent atoms, fractional coordinates:
1 Ca 0.000 0.000 0.000 (multiplicity 2)
2 Cr 0.000 0.000 0.500 (multiplicity 2)
3 Co 0.000 0.500 0.227 (multiplicity 4)


Below is a relaxed SmLu2Ag crystal, with properties calculated at the PBE level.

Values from the calculation:
Total magnetic moment (μB/f.u.): 0.00
ΔE_f (eV/atom): -0.014
Relative energy among the computed polymorphs (eV/atom): 0.124

Cell: 3.5361 3.5361 30.9172 Å, 90.00 90.00 120.00°
Space group R-3m (No. 166, hexagonal axes)
Inequivalent atoms, fractional coordinates:
1 Sm 0.0000 0.0000 0.0000 (multiplicity 3)
2 Lu 0.0000 0.0000 0.2400 (multiplicity 6)
3 Ag 0.0000 0.0000 0.5000 (multiplicity 3)


Below is a relaxed Rb2ZnTe2 crystal, with properties calculated at the PBE level.

Values from the calculation:
Total magnetic moment (μB/f.u.): 0.00
Formation energy (no corrections) (kJ per mole of atoms): -49.6

Cell: 8.204 8.204 5.594 Å, 90.00 90.00 90.00°
Space group P4/mbm (No. 127)
Inequivalent atoms, fractional coordinates:
1 Rb 0.144 0.356 0.000 (multiplicity 4)
2 Zn 0.000 0.000 0.500 (multiplicity 2)
3 Te 0.179 0.679 0.500 (multiplicity 4)


Below is a relaxed PuHfSc crystal, with properties calculated at the PBE level.

Values from the calculation:
Total magnetic moment (μB/f.u.): 0.00
ΔE_f (eV/atom): 0.170
Relative energy among the computed polymorphs (eV/atom): 0.058

Cell: 11.049 3.281 7.424 Å, 90.00 96.36 90.00°
Space group C2/m (No. 12)
Inequivalent atoms, fractional coordinates:
1 Pu 0.240 0.000 0.106 (multiplicity 4)
2 Hf 0.139 0.000 0.514 (multiplicity 4)
3 Sc 0.003 0.500 0.801 (multiplicity 4)


Below is a relaxed HfInAu crystal, with properties calculated at the PBE level.

Values from the calculation:
Total magnetic moment (μB/f.u.): 0.00
ΔE_f (eV/atom): -0.216

Cell: 4.137 4.137 7.431 Å, 90.00 90.00 90.00°
Space group P4/nmm (No. 129, origin choice 2)
Inequivalent atoms, fractional coordinates:
1 Hf 0.250 0.250 0.147 (multiplicity 2)
2 In 0.250 0.750 0.500 (multiplicity 2)
3 Au 0.250 0.250 0.790 (multiplicity 2)


Below is a relaxed LaNb3Au crystal, with properties calculated at the PBE level.

Values from the calculation:
Total magnetic moment (μB/f.u.): 1.66
ΔE_f (eV/atom): 1.146
Relative energy among the computed polymorphs (eV/atom): 0.000

Cell: 5.087 5.087 5.087 Å, 90.00 90.00 90.00°
Space group Pm-3m (No. 221)
Inequivalent atoms, fractional coordinates:
1 La 0.000 0.000 0.000 (multiplicity 1)
2 Nb 0.000 0.500 0.500 (multiplicity 3)
3 Au 0.500 0.500 0.500 (multiplicity 1)


Below is a relaxed La4Pt2Cl5 crystal, with properties calculated at the PBE level.

Values from the calculation:
Total magnetic moment (μB/f.u.): 0.00
Formation energy (no corrections) (kJ per mole of atoms): -163.6

Cell: 4.015 8.312 26.053 Å, 90.00 90.00 90.00°
Space group Immm (No. 71)
Inequivalent atoms, fractional coordinates:
1 La 0.000 0.000 0.159 (multiplicity 4)
2 La 0.000 0.287 0.500 (multiplicity 4)
3 Pt 0.000 0.000 0.053 (multiplicity 4)
4 Cl 0.000 0.276 0.316 (multiplicity 8)
5 Cl 0.000 0.500 0.000 (multiplicity 2)


Below is a relaxed ReIr3 crystal, with properties calculated at the PBE level.

Values from the calculation:
Total magnetic moment (μB/f.u.): 0.00
ΔE_f (eV/atom): -0.120
Relative energy among the computed polymorphs (eV/atom): 0.031

Cell: 2.7578 2.7578 8.8821 Å, 90.00 90.00 120.00°
Space group P-6m2 (No. 187)
Inequivalent atoms, fractional coordinates:
1 Re 0.0000 0.0000 0.0000 (multiplicity 1)
2 Ir 0.0000 0.0000 0.5000 (multiplicity 1)
3 Ir 0.6667 0.3333 0.2423 (multiplicity 2)


Below is a relaxed Nd8Pd2Au crystal, with properties calculated at the PBE level.

Values from the calculation:
Total magnetic moment (μB/f.u.): 0.00
ΔE_f (eV/atom): -0.300
Relative energy among the computed polymorphs (eV/atom): 0.108

Cell: 8.603 13.764 6.075 Å, 90.00 109.22 90.00°
Space group Cm (No. 8)
Inequivalent atoms, fractional coordinates:
1 Nd 0.000 0.000 0.000 (multiplicity 2)
2 Nd 0.090 0.373 0.783 (multiplicity 4)
3 Nd 0.152 0.126 0.575 (multiplicity 4)
4 Nd 0.248 0.500 0.372 (multiplicity 2)
5 Nd 0.367 0.217 0.185 (multiplicity 4)
6 Pd 0.372 0.300 0.687 (multiplicity 4)
7 Au 0.375 0.000 0.343 (multiplicity 2)


Below is a relaxed Nd3SnIr crystal, with properties calculated at the PBE level.

Values from the calculation:
Total magnetic moment (μB/f.u.): 0.00
ΔE_f (eV/atom): -0.404
Relative energy among the computed polymorphs (eV/atom): 0.041

Cell: 5.508 5.508 5.508 Å, 90.00 90.00 90.00°
Space group Pm-3m (No. 221)
Inequivalent atoms, fractional coordinates:
1 Nd 0.000 0.000 0.500 (multiplicity 3)
2 Sn 0.500 0.500 0.500 (multiplicity 1)
3 Ir 0.000 0.000 0.000 (multiplicity 1)


Below is a relaxed Na3Hg7Pb2 crystal, with properties calculated at the PBE level.

Values from the calculation:
Total magnetic moment (μB/f.u.): 0.00
ΔE_f (eV/atom): -0.113

Cell: 5.192 3.431 18.722 Å, 90.00 94.90 90.00°
Space group P2/m (No. 10)
Inequivalent atoms, fractional coordinates:
1 Na 0.000 0.000 0.000 (multiplicity 1)
2 Na 0.283 0.500 0.616 (multiplicity 2)
3 Hg 0.131 0.500 0.134 (multiplicity 2)
4 Hg 0.238 0.000 0.460 (multiplicity 2)
5 Hg 0.342 0.000 0.801 (multiplicity 2)
6 Hg 0.500 0.500 0.000 (multiplicity 1)
7 Pb 0.193 0.000 0.295 (multiplicity 2)


Below is a relaxed PmNd2Br6 crystal, with properties calculated at the PBE level.

Values from the calculation:
Total magnetic moment (μB/f.u.): 0.00
Formation energy (no corrections) (kJ per mole of atoms): -159.7

Cell: 19.085 3.989 8.991 Å, 90.00 110.76 90.00°
Space group C2/m (No. 12)
Inequivalent atoms, fractional coordinates:
1 Pm 0.000 0.000 0.000 (multiplicity 2)
2 Nd 0.174 0.500 0.351 (multiplicity 4)
3 Br 0.003 0.500 0.245 (multiplicity 4)
4 Br 0.163 0.000 0.587 (multiplicity 4)
5 Br 0.164 0.000 0.091 (multiplicity 4)


| no. | total DFT energy (no corrections) (eV/atom) |
| --- | --- |
| 1 | -2.486 |
| 2 | -4.700 |
| 3 | -5.410 |
| 4 | -4.409 |
| 5 | -3.863 |
| 6 | -5.754 |
| 7 | -4.167 |
| 8 | -2.413 |
| 9 | -10.036 |
| 10 | -5.539 |
| 11 | -6.537 |
| 12 | -5.426 |
| 13 | -9.878 |
| 14 | -5.010 |
| 15 | -5.837 |
| 16 | -1.237 |
| 17 | -4.358 |